Density functional theory data (PBE) for a relaxed ReAgHg2 crystal.

a = 2.9549 Å, b = 5.0054 Å, c = 5.0054 Å
α = 90.00°, β = 90.00°, γ = 90.00°
Fractional coordinates of all 4 atoms:
Hg (0.0000, 0.0000, 0.0000)
Hg (0.0000, 0.5000, 0.5000)
Ag (0.5000, 0.0000, 0.5000)
Re (0.5000, 0.5000, 0.0000)

Output
As for the excess energy over the best structure of this formula in the dataset: 0.116 eV per atom. Its space group is P4/mmm, No. 123. For the energy of formation, the calculation gives 2.72 eV per formula unit. The spin magnetization comes out at 0.00 μB per atom.


Density functional theory data (PBE) for a relaxed Ba3Rh crystal.

a = 6.8343 Å, b = 6.8343 Å, c = 6.8343 Å
α = 116.32°, β = 116.32°, γ = 116.32°
Fractional coordinates of all 4 atoms:
Rh (0.5000, 0.5000, 0.5000)
Ba (0.0000, 0.0000, 0.5000)
Ba (0.0000, 0.5000, 0.0000)
Ba (0.5000, 0.0000, 0.0000)

Output
Its space group is R-3m, No. 166. For the energy of formation, the calculation gives 1.76 eV per formula unit. The spin magnetization comes out at 0.00 μB per atom.


Density functional theory data (PBE) for a relaxed Y6MgHg5 crystal.

a = 5.2470 Å, b = 7.4976 Å, c = 9.1638 Å
α = 114.15°, β = 106.64°, γ = 90.00°
Fractional coordinates of all 12 atoms:
Mg (0.0000, 0.0000, 0.0000)
Y (0.1695, 0.9178, 0.3390)
Y (0.8305, 0.5788, 0.6610)
Y (0.5000, 0.7418, 0.0000)
Y (0.5000, 0.2582, 0.0000)
Y (0.1695, 0.4212, 0.3390)
Y (0.8305, 0.0822, 0.6610)
Hg (0.3466, 0.8466, 0.6932)
Hg (0.6662, 0.6662, 0.3324)
Hg (0.6534, 0.1534, 0.3068)
Hg (0.3338, 0.3338, 0.6676)
Hg (0.0000, 0.5000, 0.0000)

Output
Its space group is Immm, No. 71. For the energy of formation, the calculation gives -5.39 eV per formula unit. The spin magnetization comes out at 0.00 μB per atom.


Density functional theory data (PBE) for a relaxed LiSm2Be crystal.

a = 5.0887 Å, b = 5.0887 Å, c = 5.0887 Å
α = 60.00°, β = 60.00°, γ = 60.00°
Fractional coordinates of all 4 atoms:
Li (0.5000, 0.5000, 0.5000)
Be (0.0000, 0.0000, 0.0000)
Sm (0.7500, 0.7500, 0.7500)
Sm (0.2500, 0.2500, 0.2500)

Output
As for the excess energy over the best structure of this formula in the dataset: 0.049 eV per atom. Its space group is Fm-3m, No. 225. For the energy of formation, the calculation gives 0.64 eV per formula unit. The spin magnetization comes out at 0.00 μB per atom.


Density functional theory data (PBE) for a relaxed Ac2CoB12Ru3 crystal.

a = 7.9993 Å, b = 7.9993 Å, c = 7.9993 Å
α = 49.52°, β = 49.52°, γ = 49.52°
Fractional coordinates of all 18 atoms:
Ru (0.5000, 0.0000, 0.0000)
Ru (0.0000, 0.0000, 0.5000)
Ru (0.0000, 0.5000, 0.0000)
B (0.7352, 0.0187, 0.0187)
B (0.2648, 0.9813, 0.9813)
B (0.0187, 0.0187, 0.7352)
B (0.3590, 0.3590, 0.7790)
B (0.2210, 0.6410, 0.6410)
B (0.6410, 0.2210, 0.6410)
B (0.9813, 0.9813, 0.2648)
B (0.9813, 0.2648, 0.9813)
B (0.0187, 0.7352, 0.0187)
B (0.7790, 0.3590, 0.3590)
B (0.3590, 0.7790, 0.3590)
B (0.6410, 0.6410, 0.2210)
Co (0.0000, 0.0000, 0.0000)
Ac (0.6147, 0.6147, 0.6147)
Ac (0.3853, 0.3853, 0.3853)

Output
Its space group is R-3m, No. 166. For the energy of formation, the calculation gives 9.18 eV per formula unit. The spin magnetization comes out at 0.00 μB per atom.


Density functional theory data (PBE) for a relaxed YBeOs2 crystal.

a = 3.1230 Å, b = 4.6723 Å, c = 4.3667 Å
α = 90.00°, β = 90.00°, γ = 90.00°
Fractional coordinates of all 4 atoms:
Be (0.0000, 0.5000, 0.5000)
Y (0.5000, 0.0000, 0.5000)
Os (0.0000, 0.0000, 0.0000)
Os (0.5000, 0.5000, 0.0000)

Output
Its space group is Pmmm, No. 47. For the energy of formation, the calculation gives 1.53 eV per formula unit. The spin magnetization comes out at 0.00 μB per atom.


Density functional theory data (PBE) for a relaxed B5C7 crystal.

a = 2.6309 Å, b = 2.6309 Å, c = 14.6487 Å
α = 90.00°, β = 90.00°, γ = 120.00°
Fractional coordinates of all 12 atoms:
C (0.0000, 0.0000, 0.3486)
C (0.6667, 0.3333, 0.3121)
C (0.3333, 0.6667, 0.0540)
C (0.6667, 0.3333, 0.2097)
C (0.6667, 0.3333, 0.7331)
C (0.0000, 0.0000, 0.4598)
C (0.0000, 0.0000, 0.0182)
B (0.3333, 0.6667, 0.7250)
B (0.3333, 0.6667, 0.1639)
B (0.6667, 0.3333, 0.8401)
B (0.3333, 0.6667, 0.4741)
B (0.0000, 0.0000, 0.9116)

Output
As for the excess energy over the best structure of this formula in the dataset: 0.064 eV per atom. Its space group is P3m1, No. 156. For the energy of formation, the calculation gives 3.87 eV per formula unit. The spin magnetization comes out at 0.00 μB per atom.


Density functional theory data (PBE) for a relaxed SrCa2TlPd crystal.

a = 5.5641 Å, b = 5.5641 Å, c = 5.8706 Å
α = 90.00°, β = 90.00°, γ = 90.00°
Fractional coordinates of all 5 atoms:
Ca (0.5000, 0.0000, 0.0000)
Ca (0.0000, 0.5000, 0.0000)
Pd (0.0000, 0.0000, 0.0000)
Tl (0.5000, 0.5000, 0.5000)
Sr (0.0000, 0.0000, 0.5000)

Output
As for the excess energy over the best structure of this formula in the dataset: 0.000 eV per atom. Its space group is P4/mmm, No. 123. For the energy of formation, the calculation gives -1.69 eV per formula unit. The spin magnetization comes out at 0.00 μB per atom.


Density functional theory data (PBE) for a relaxed La2TcGe2 crystal.

a = 7.8473 Å, b = 7.8473 Å, c = 4.3417 Å
α = 90.00°, β = 90.00°, γ = 90.00°
Last column: magnetic moment on the atom in μB.
Fractional coordinates of all 10 atoms:
Tc (0.0000, 0.0000, 0.0000)  0.92
Tc (0.5000, 0.5000, 0.0000)  0.92
Ge (0.3918, 0.1082, 0.5000)  0.02
Ge (0.6082, 0.8918, 0.5000)  0.02
Ge (0.8918, 0.3918, 0.5000)  0.02
Ge (0.1082, 0.6082, 0.5000)  0.02
La (0.3084, 0.8084, 0.0000)  0.00
La (0.1916, 0.3084, 0.0000)  -0.02
La (0.6916, 0.1916, 0.0000)  0.00
La (0.8084, 0.6916, 0.0000)  -0.02

Output
As for the excess energy over the best structure of this formula in the dataset: 0.677 eV per atom. Its space group is P4/mbm, No. 127. For the energy of formation, the calculation gives 0.61 eV per formula unit. The spin magnetization comes out at 0.21 μB per atom.


Density functional theory data (PBE) for a relaxed Pm4DyS4 crystal.

a = 6.8934 Å, b = 6.8934 Å, c = 6.8934 Å
α = 99.74°, β = 99.74°, γ = 131.41°
Fractional coordinates of all 9 atoms:
S (0.9025, 0.7046, 0.6071)
S (0.7046, 0.0975, 0.8021)
S (0.0975, 0.2954, 0.3929)
S (0.2954, 0.9025, 0.1979)
Pm (0.8026, 0.3990, 0.2017)
Pm (0.1974, 0.6010, 0.7983)
Pm (0.6010, 0.8026, 0.4036)
Pm (0.3990, 0.1974, 0.5964)
Dy (0.0000, 0.0000, 0.0000)

Output
Its space group is I4/m, No. 87. The formation energy from raw total energies is -1778 meV per atom. The spin magnetization comes out at 0.00 μB per atom.


Density functional theory data (PBE) for a relaxed Sr4Cd2Pd crystal.

a = 5.7965 Å, b = 5.7965 Å, c = 9.4662 Å
α = 72.17°, β = 72.17°, γ = 90.00°
Fractional coordinates of all 7 atoms:
Sr (0.5000, 0.0000, 0.0000)
Sr (0.1805, 0.1805, 0.6390)
Sr (0.8195, 0.8195, 0.3610)
Sr (0.0000, 0.5000, 0.0000)
Cd (0.6195, 0.6195, 0.7610)
Cd (0.3805, 0.3805, 0.2390)
Pd (0.0000, 0.0000, 0.0000)

Output
Its space group is I4/mmm, No. 139. For the energy of formation, the calculation gives -1.75 eV per formula unit. The spin magnetization comes out at 0.00 μB per atom.


Density functional theory data (PBE) for a relaxed Tl2Zn2Fe crystal.

a = 6.9747 Å, b = 6.9747 Å, c = 6.9747 Å
α = 144.03°, β = 144.03°, γ = 51.78°
Last column: magnetic moment on the atom in μB.
Fractional coordinates of all 5 atoms:
Fe (0.0000, 0.0000, 0.0000)  3.21
Tl (0.2500, 0.7500, 0.5000)  -0.01
Tl (0.7500, 0.2500, 0.5000)  -0.01
Zn (0.4072, 0.4072, 0.0000)  0.00
Zn (0.5928, 0.5928, 0.0000)  0.00

Output
Its space group is I4/mmm, No. 139. For the energy of formation, the calculation gives 3.78 eV per formula unit. The spin magnetization comes out at 0.65 μB per atom.


Density functional theory data (PBE) for a relaxed Er12FeAg6 crystal.

a = 7.9652 Å, b = 7.9652 Å, c = 7.9652 Å
α = 93.25°, β = 93.25°, γ = 93.25°
Fractional coordinates of all 19 atoms:
Ag (0.7413, 0.3445, 0.1373)
Ag (0.6555, 0.8627, 0.2587)
Ag (0.2587, 0.6555, 0.8627)
Ag (0.1373, 0.7413, 0.3445)
Ag (0.3445, 0.1373, 0.7413)
Ag (0.8627, 0.2587, 0.6555)
Er (0.9088, 0.6894, 0.0318)
Er (0.8017, 0.5689, 0.4576)
Er (0.4576, 0.8017, 0.5689)
Er (0.0318, 0.9088, 0.6894)
Er (0.0912, 0.3106, 0.9682)
Er (0.3106, 0.9682, 0.0912)
Er (0.6894, 0.0318, 0.9088)
Er (0.1983, 0.4311, 0.5424)
Er (0.4311, 0.5424, 0.1983)
Er (0.5424, 0.1983, 0.4311)
Er (0.5689, 0.4576, 0.8017)
Er (0.9682, 0.0912, 0.3106)
Fe (0.0000, 0.0000, 0.0000)

Output
Its space group is R-3, No. 148. For the energy of formation, the calculation gives -1.66 eV per formula unit. The spin magnetization comes out at 0.00 μB per atom.


Density functional theory data (PBE) for a relaxed NaAu crystal.

a = 3.8397 Å, b = 3.8397 Å, c = 2.8773 Å
α = 90.00°, β = 90.00°, γ = 90.00°
Fractional coordinates of all 2 atoms:
Na (0.0000, 0.0000, 0.0000)
Au (0.5000, 0.5000, 0.5000)

Output
Its space group is P4/mmm, No. 123. For the energy of formation, the calculation gives -0.57 eV per formula unit. The spin magnetization comes out at 0.00 μB per atom.


Density functional theory data (PBE) for a relaxed TmU3Tl3Te8 crystal.

a = 8.7689 Å, b = 8.7694 Å, c = 9.7532 Å
α = 116.73°, β = 90.00°, γ = 120.00°
Last column: magnetic moment on the atom in μB.
Fractional coordinates of all 15 atoms:
U (0.5000, 0.5000, 0.5000)  2.59
U (0.5000, 0.0000, 0.5000)  2.59
U (0.0000, 0.5000, 0.5000)  2.59
Te (0.2365, 0.4730, 0.7126)  -0.05
Te (0.7635, 0.5270, 0.2874)  -0.05
Te (0.2603, 0.0238, 0.2874)  -0.05
Te (0.7390, 0.4779, 0.7169)  -0.06
Te (0.7397, 0.9762, 0.7126)  -0.05
Te (0.7635, 0.0238, 0.2874)  -0.05
Te (0.2365, 0.9762, 0.7126)  -0.05
Te (0.2610, 0.5221, 0.2831)  -0.06
Tl (0.0000, 0.0000, 0.0000)  -0.01
Tl (0.5000, 0.5000, 0.0000)  -0.01
Tl (0.0000, 0.5000, 0.0000)  -0.01
Tm (0.0000, 0.0000, 0.5000)  0.03

Output
Its space group is R-3m, No. 166. The formation energy from raw total energies is -680 meV per atom. The spin magnetization comes out at 0.53 μB per atom.


Density functional theory data (PBE) for a relaxed TbCu6Pd2 crystal.

a = 2.9252 Å, b = 7.4806 Å, c = 7.4806 Å
α = 57.34°, β = 78.72°, γ = 78.72°
Fractional coordinates of all 9 atoms:
Cu (0.6762, 0.0065, 0.6410)
Cu (0.6762, 0.6410, 0.0065)
Cu (0.5000, 0.3331, 0.6669)
Cu (0.3238, 0.3590, 0.9935)
Cu (0.3238, 0.9935, 0.3590)
Cu (0.5000, 0.6669, 0.3331)
Pd (0.1481, 0.3519, 0.3519)
Pd (0.8519, 0.6481, 0.6481)
Tb (0.0000, 0.0000, 0.0000)

Output
Its space group is Immm, No. 71. For the energy of formation, the calculation gives -0.39 eV per formula unit. The spin magnetization comes out at 0.00 μB per atom.


Density functional theory data (PBE) for a relaxed PbW2Cl crystal.

a = 9.3215 Å, b = 9.3215 Å, c = 9.3215 Å
α = 18.70°, β = 18.70°, γ = 18.70°
Fractional coordinates of all 4 atoms:
Pb (0.7500, 0.7500, 0.7500)
Cl (0.2500, 0.2500, 0.2500)
W (0.9945, 0.9945, 0.9945)
W (0.5055, 0.5055, 0.5055)

Output
As for the excess energy over the best structure of this formula in the dataset: 0.904 eV per atom. Its space group is R-3m, No. 166. The formation energy from raw total energies is 1112 meV per atom. The spin magnetization comes out at 0.00 μB per atom.


Density functional theory data (PBE) for a relaxed MnCu4Pd crystal.

a = 4.8204 Å, b = 4.8204 Å, c = 4.8204 Å
α = 60.00°, β = 60.00°, γ = 60.00°
Last column: magnetic moment on the atom in μB.
Fractional coordinates of all 6 atoms:
Cu (0.6249, 0.6249, 0.6249)  0.06
Cu (0.1252, 0.6249, 0.6249)  0.06
Cu (0.6249, 0.1252, 0.6249)  0.06
Cu (0.6249, 0.6249, 0.1252)  0.06
Mn (0.2500, 0.2500, 0.2500)  3.96
Pd (0.0000, 0.0000, 0.0000)  0.13

Output
As for the excess energy over the best structure of this formula in the dataset: 0.020 eV per atom. Its space group is F-43m, No. 216. For the energy of formation, the calculation gives -0.08 eV per formula unit. The spin magnetization comes out at 0.75 μB per atom.


Density functional theory data (PBE) for a relaxed LiDyZn11 crystal.

a = 5.2274 Å, b = 6.7779 Å, c = 6.7530 Å
α = 81.52°, β = 67.23°, γ = 67.59°
Fractional coordinates of all 13 atoms:
Zn (0.3589, 0.6461, 0.6493)
Zn (0.5000, 0.0000, 0.5000)
Zn (0.9918, 0.3539, 0.6493)
Zn (0.0000, 0.0000, 0.5000)
Zn (0.5020, 0.2195, 0.7843)
Zn (0.0082, 0.6461, 0.3507)
Zn (0.7137, 0.7805, 0.7843)
Zn (0.0000, 0.5000, 0.0000)
Zn (0.4980, 0.7805, 0.2157)
Zn (0.6411, 0.3539, 0.3507)
Zn (0.2863, 0.2195, 0.2157)
Dy (0.0000, 0.0000, 0.0000)
Li (0.5000, 0.5000, 0.0000)

Output
Its space group is C2/m, No. 12. For the energy of formation, the calculation gives -2.50 eV per formula unit. The spin magnetization comes out at 0.00 μB per atom.


Density functional theory data (PBE) for a relaxed CaGe2PdRu crystal.

a = 4.1950 Å, b = 4.1950 Å, c = 6.0649 Å
α = 110.23°, β = 110.23°, γ = 90.00°
Fractional coordinates of all 5 atoms:
Pd (0.7500, 0.2500, 0.5000)
Ge (0.6246, 0.6246, 0.2492)
Ge (0.3754, 0.3754, 0.7508)
Ca (0.0000, 0.0000, 0.0000)
Ru (0.2500, 0.7500, 0.5000)

Output
Its space group is I-4m2, No. 119. For the energy of formation, the calculation gives -3.11 eV per formula unit. The spin magnetization comes out at 0.00 μB per atom.